The following is a SCAN calculation of ZrBeI2O at its PBEsol-relaxed geometry, from Alexandria via LeMat-Bulk.

Summary:
* VASP energy: -23.650 eV per atom
* raw formation energy: -0.70 eV per atom
* spin magnetization: 0.00 μB/cell
* symmetry: P4/mmm
* ρ: 4.682 g/cm³

a b c (Å): 5.761 5.761 3.954
angles (deg): 90.00 90.00 90.00
Sites, in units of the cell vectors:
Zr1 0.000 0.000 0.000
Be1 0.500 0.500 0.500
I1 0.000 0.500 0.000
I2 0.500 0.000 0.000
O1 0.000 0.000 0.500

***

The following is a SCAN calculation of BeP3I at its PBEsol-relaxed geometry, from Alexandria via LeMat-Bulk.

Summary:
* VASP energy: -12.307 eV per atom
* raw formation energy: 2.15 eV per atom
* spin magnetization: 0.05 μB/cell
* symmetry: Pm-3m
* ρ: 3.020 g/cm³

a b c (Å): 5.011 5.011 5.011
angles (deg): 90.00 90.00 90.00
Sites, in units of the cell vectors:
Be1 0.000 0.000 0.000
P1 0.000 0.500 0.500
P2 0.500 0.000 0.500
P3 0.500 0.500 0.000
I1 0.500 0.500 0.500

***

The following is a SCAN calculation of TiBePI2 at its PBEsol-relaxed geometry, from Alexandria via LeMat-Bulk.

Summary:
* VASP energy: -19.816 eV per atom
* raw formation energy: 1.04 eV per atom
* spin magnetization: 1.60 μB/cell
* symmetry: P4/mmm
* ρ: 5.051 g/cm³

a b c (Å): 4.854 4.854 4.767
angles (deg): 90.00 90.00 90.00
Sites, in units of the cell vectors:
Ti1 0.000 0.000 0.000
Be1 0.000 0.000 0.500
P1 0.500 0.500 0.000
I1 0.000 0.500 0.500
I2 0.500 0.000 0.500

***

The following is a SCAN calculation of BeTlPI2 at its PBEsol-relaxed geometry, from Alexandria via LeMat-Bulk.

Summary:
* VASP energy: -31.375 eV per atom
* raw formation energy: 0.74 eV per atom
* spin magnetization: 0.00 μB/cell
* symmetry: P4/mmm
* ρ: 5.016 g/cm³

a b c (Å): 5.517 5.517 5.419
angles (deg): 90.00 90.00 90.00
Sites, in units of the cell vectors:
Be1 0.000 0.000 0.000
Tl1 0.500 0.500 0.000
P1 0.500 0.500 0.500
I1 0.000 0.500 0.500
I2 0.500 0.000 0.500

***

The following is a SCAN calculation of BePbI2 at its PBEsol-relaxed geometry, from Alexandria via LeMat-Bulk.

Summary:
* VASP energy: -37.900 eV per atom
* raw formation energy: 0.50 eV per atom
* spin magnetization: 0.00 μB/cell
* symmetry: Fm-3m
* ρ: 6.743 g/cm³

a b c (Å): 7.736 7.736 7.736
angles (deg): 90.00 90.00 90.00
Sites, in units of the cell vectors:
Be1 0.000 0.000 0.000
Be2 0.000 0.500 0.500
Be3 0.500 0.000 0.500
Be4 0.500 0.500 0.000
Pb1 0.000 0.000 0.500
Pb2 0.000 0.500 0.000
Pb3 0.500 0.000 0.000
Pb4 0.500 0.500 0.500
I1 0.250 0.250 0.250
I2 0.250 0.250 0.750
I3 0.250 0.750 0.250
I4 0.250 0.750 0.750
I5 0.750 0.250 0.250
I6 0.750 0.250 0.750
I7 0.750 0.750 0.250
I8 0.750 0.750 0.750

***

The following is a SCAN calculation of BeSb2PbI at its PBEsol-relaxed geometry, from Alexandria via LeMat-Bulk.

Summary:
* VASP energy: -37.883 eV per atom
* raw formation energy: 0.40 eV per atom
* spin magnetization: 0.00 μB/cell
* symmetry: P4/mmm
* ρ: 7.412 g/cm³

a b c (Å): 4.926 4.926 5.417
angles (deg): 90.00 90.00 90.00
Sites, in units of the cell vectors:
Be1 0.000 0.000 0.000
Sb1 0.000 0.500 0.000
Sb2 0.500 0.000 0.000
Pb1 0.500 0.500 0.500
I1 0.000 0.000 0.500

***

The following is a SCAN calculation of BeTc2PbI at its PBEsol-relaxed geometry, from Alexandria via LeMat-Bulk.

Summary:
* VASP energy: -35.566 eV per atom
* raw formation energy: 1.83 eV per atom
* spin magnetization: 3.29 μB/cell
* symmetry: P4/mmm
* ρ: 8.458 g/cm³

a b c (Å): 4.882 4.882 4.441
angles (deg): 90.00 90.00 90.00
Sites, in units of the cell vectors:
Be1 0.000 0.000 0.000
Tc1 0.000 0.500 0.500
Tc2 0.500 0.000 0.500
Pb1 0.500 0.500 0.000
I1 0.000 0.000 0.500

***

The following is a SCAN calculation of Be2TlPbI at its PBEsol-relaxed geometry, from Alexandria via LeMat-Bulk.

Summary:
* VASP energy: -37.959 eV per atom
* raw formation energy: 0.76 eV per atom
* spin magnetization: 0.00 μB/cell
* symmetry: P4/mmm
* ρ: 6.631 g/cm³

a b c (Å): 4.629 4.629 6.503
angles (deg): 90.00 90.00 90.00
Sites, in units of the cell vectors:
Be1 0.000 0.500 0.000
Be2 0.500 0.000 0.000
Tl1 0.000 0.000 0.000
Pb1 0.500 0.500 0.500
I1 0.000 0.000 0.500